# GGA-PBE SmDyY2Er2, relaxed
# Magnetization, μB per formula unit: 0.001
# Total DFT energy (no corrections), eV/atom: -4.958
# ΔH_f (0 K), kJ/mol of formula units: 156.8
data_SmDyY2Er2
_cell_length_a 6.5152
_cell_length_b 17.7602
_cell_length_c 3.3970
_cell_angle_alpha 90.00
_cell_angle_beta 90.00
_cell_angle_gamma 90.00
_symmetry_space_group_name_H-M 'P n n m'
_symmetry_Int_Tables_number 58
loop_
_symmetry_equiv_pos_as_xyz
'x,y,z'
'-x,-y,-z'
'-x,-y,z'
'x,y,-z'
'x+1/2,-y+1/2,-z+1/2'
'-x+1/2,y+1/2,z+1/2'
'-x+1/2,y+1/2,-z+1/2'
'x+1/2,-y+1/2,z+1/2'
loop_
_atom_site_label
_atom_site_fract_x
_atom_site_fract_y
_atom_site_fract_z
Sm1 0.0000 0.0000 0.0000
Dy1 0.0000 0.5000 0.0000
Y1 0.2251 0.1862 0.0000
Er1 0.2231 0.3532 0.5000

---

# GGA-PBE Sm2DyY2Er, relaxed
# Magnetization, μB per formula unit: 0.000
# Total DFT energy (no corrections), eV/atom: -4.973
# ΔH_f (0 K), kJ/mol of formula units: 163.4
data_Sm2DyY2Er
_cell_length_a 6.6175
_cell_length_b 17.8299
_cell_length_c 3.3781
_cell_angle_alpha 90.00
_cell_angle_beta 90.00
_cell_angle_gamma 90.00
_symmetry_space_group_name_H-M 'P n n m'
_symmetry_Int_Tables_number 58
loop_
_symmetry_equiv_pos_as_xyz
'x,y,z'
'-x,-y,-z'
'-x,-y,z'
'x,y,-z'
'x+1/2,-y+1/2,-z+1/2'
'-x+1/2,y+1/2,z+1/2'
'-x+1/2,y+1/2,-z+1/2'
'x+1/2,-y+1/2,z+1/2'
loop_
_atom_site_label
_atom_site_fract_x
_atom_site_fract_y
_atom_site_fract_z
Sm1 0.2358 0.1812 0.0000
Dy1 0.0000 0.5000 0.0000
Y1 0.2317 0.3519 0.5000
Er1 0.0000 0.0000 0.0000

---

# GGA-PBE Sm6DyY2Er3, relaxed
# Magnetization, μB per formula unit: 0.002
# Total DFT energy (no corrections), eV/atom: -4.946
# ΔH_f (0 K), kJ/mol of formula units: 17.0
data_Sm6DyY2Er3
_cell_length_a 6.2152
_cell_length_b 10.7609
_cell_length_c 11.7964
_cell_angle_alpha 90.00
_cell_angle_beta 100.08
_cell_angle_gamma 90.00
_symmetry_space_group_name_H-M 'C 1 2/m 1'
_symmetry_Int_Tables_number 12
loop_
_symmetry_equiv_pos_as_xyz
'x,y,z'
'-x,-y,-z'
'-x,y,-z'
'x,-y,z'
'x+1/2,y+1/2,z'
'-x+1/2,-y+1/2,-z'
'-x+1/2,y+1/2,-z'
'x+1/2,-y+1/2,z'
loop_
_atom_site_label
_atom_site_fract_x
_atom_site_fract_y
_atom_site_fract_z
Sm1 0.2486 0.0000 0.2485
Sm2 0.2503 0.1663 0.7517
Dy1 0.0000 0.0000 0.5000
Y1 0.0000 0.3334 0.5000
Er1 0.0000 0.1666 0.0000
Er2 0.0000 0.5000 0.0000